(1)
The following is a DFT calculation (PBE) of a relaxed structure of TbPm4Dy2Tm2.

Cell and atoms, written as POSCAR:
```
TbPm4Dy2Tm2
1.0
-3.6576 -2.0540 -2.8212
6.9168 -3.6191 -1.8032
-2.9764 -3.6126 6.4889
Tb Pm Dy Tm
1 4 2 2
Cartesian
0.0000 0.0000 0.0000
-0.9960 -6.0193 1.1444
1.2788 -3.2664 0.7201
-2.2611 -2.7264 0.3872
2.5440 -6.5593 1.4773
1.1402 -5.8328 -1.7609
-0.8574 -3.4529 3.6254
3.3825 -3.0901 -2.1356
-3.0997 -6.1956 4.0001
```

M_tot ... 0.00 μB/f.u.
DFT total energy ... -4.62 eV per atom

=====

(2)
The following is a DFT calculation (PBE) of a relaxed structure of LaTb3.

Cell and atoms, written as POSCAR:
```
LaTb3
1.0
-4.1176 3.9234 1.0744
-2.9937 -1.3465 -6.5563
-5.1292 -5.1937 -0.6912
Tb La
6 2
Cartesian
-5.2235 -1.8595 -5.4328
-7.8101 -4.4787 -5.7813
-6.3004 -3.7996 -2.4751
-7.0170 -0.7572 -0.7403
-4.4304 1.8619 -0.3918
-5.9401 1.1829 -3.6980
-8.5034 -1.4176 -4.0259
-3.7370 -1.1992 -2.1472
```

M_tot ... 0.00 μB/f.u.
DFT total energy ... -4.68 eV per atom

=====

(3)
The following is a DFT calculation (PBE) of a relaxed structure of Ca2TcW.

Cell and atoms, written as POSCAR:
```
Ca2TcW
1.0
10.4721 -0.0088 -0.0051
10.0407 2.9749 -0.0051
10.0407 1.4519 2.5966
Ca Tc W
2 1 1
Cartesian
30.4705 4.4060 2.5793
15.3597 2.2210 1.3002
7.6384 1.1045 0.6466
22.9151 3.3135 1.9397
```

Polymorph energy (0 for the lowest one) ... 0.672 eV/atom
M_tot ... 0.35 μB/f.u.

=====

(4)
The following is a DFT calculation (PBE) of a relaxed structure of ZnInCo2.

Cell and atoms, written as POSCAR:
```
ZnInCo2
1.0
-0.6723 -3.3508 2.7829
-1.5190 -4.1341 0.1619
4.1549 -2.5914 -0.5678
Co In Zn
2 1 1
Cartesian
3.9783 -2.5160 -0.5333
1.1583 -5.1136 1.1540
0.4909 -2.5191 0.5943
1.4727 -7.5573 1.7828
```

M_tot ... 2.07 μB/f.u.
DFT total energy ... -4.34 eV per atom

=====

(5)
The following is a DFT calculation (PBE) of a relaxed structure of Zr4BN3.

Cell and atoms, written as POSCAR:
```
Zr4BN3
1.0
-0.6827 1.0734 -4.5035
-4.3736 -1.6423 0.2716
-1.5182 4.2486 1.2428
Zr B N
4 1 3
Cartesian
-0.3414 0.5367 -2.2517
-3.2873 1.8398 -1.4945
-0.7591 2.1243 0.6214
-2.1868 -0.8212 0.1358
0.0000 0.0000 0.0000
-2.9459 1.3031 0.7572
-2.5282 -0.2845 -2.1159
-1.1005 2.6610 -1.6303
```

M_tot ... 0.00 μB/f.u.
Raw formation energy ... -1454.1 meV per atom

=====

(6)
The following is a DFT calculation (PBE) of a relaxed structure of LiHoSi2Pt2.

Cell and atoms, written as POSCAR:
```
LiHoSi2Pt2
1.0
4.2074 0.0000 0.0000
-2.1037 3.6437 0.0000
0.0000 0.0000 6.5492
Li Ho Si Pt
1 1 2 2
Cartesian
0.0000 0.0000 3.2746
0.0000 0.0000 0.0000
2.1037 1.2146 4.5438
0.0000 2.4291 2.0054
2.1037 1.2146 1.9343
0.0000 2.4291 4.6149
```

M_tot ... 0.00 μB/f.u.
Raw formation energy ... -983.0 meV per atom

=====

(7)
The following is a DFT calculation (PBE) of a relaxed structure of Ba3TmPd2O6.

Cell and atoms, written as POSCAR:
```
Ba3TmPd2O6
1.0
-5.1121 1.4958 -2.9770
0.4413 -5.4170 2.7738
-2.5512 2.7406 5.7581
Ba Tm Pd O
3 1 2 6
Cartesian
-3.0411 -1.3603 4.5387
-4.1809 0.1798 1.0162
0.0000 0.0000 0.0000
-1.2756 1.3703 2.8790
-5.4335 1.5254 3.8434
-1.7885 -2.7060 1.7116
-3.8410 -2.6690 2.1102
-1.4924 -0.6973 2.2124
-1.2705 -3.4212 3.6071
-5.7296 -0.4833 3.3426
-3.3810 1.4885 3.4447
-5.9515 2.2406 1.9478
```

M_tot ... 0.00 μB/f.u.
Raw formation energy ... -1851.3 meV per atom

=====

(8)
The following is a DFT calculation (PBE) of a relaxed structure of AcSmGa2Rh2.

Cell and atoms, written as POSCAR:
```
AcSmGa2Rh2
1.0
-1.6642 -3.4875 -2.1461
4.1655 1.2746 -0.7495
2.5113 -4.7823 5.8238
Ac Sm Ga Rh
1 1 2 2
Cartesian
0.0000 0.0000 0.0000
1.2556 -2.3912 2.9119
2.0936 -5.3556 2.5275
2.9190 -1.6395 0.4006
0.9685 -3.2131 -0.0817
4.0441 -3.7821 3.0098
```

M_tot ... 0.00 μB/f.u.
DFT total energy ... -5.70 eV per atom

=====

(9)
The following is a DFT calculation (PBE) of a relaxed structure of ZrTaRe2.

Cell and atoms, written as POSCAR:
```
ZrTaRe2
1.0
-2.5864 0.1338 -4.6564
-1.3386 -4.0446 3.1998
-2.5782 0.8127 0.8417
Re Ta Zr
2 1 1
Cartesian
0.0000 0.0000 0.0000
-1.9625 -1.9554 -0.7283
-2.5823 0.4732 -1.9073
-1.9584 -1.6160 2.0208
```

M_tot ... 0.00 μB/f.u.
DFT total energy ... -11.43 eV per atom

=====

(10)
The following is a DFT calculation (PBE) of a relaxed structure of KCd2CO.

Cell and atoms, written as POSCAR:
```
KCd2CO
1.0
-0.0268 -2.8402 -3.3927
5.6539 -3.8471 3.1759
-2.9273 -2.5327 2.1434
K C O Cd
1 1 1 2
Cartesian
1.3499 -4.6100 0.9633
2.8269 -1.9236 1.5879
0.0000 0.0000 0.0000
-1.4637 -1.2664 1.0717
-0.0134 -1.4201 -1.6964
```

Polymorph energy (0 for the lowest one) ... 0.354 eV/atom
M_tot ... 3.00 μB/f.u.
Raw formation energy ... 887.1 meV per atom

=====

(11)
The following is a DFT calculation (PBE) of a relaxed structure of Li2AlW.

Cell and atoms, written as POSCAR:
```
Li2AlW
1.0
2.6996 -0.0262 0.0000
-0.4046 2.6693 0.0000
0.0000 0.0000 9.0954
Al Li W
1 2 1
Cartesian
1.1475 1.3215 6.7428
0.0000 0.0000 8.9135
1.1475 1.3215 2.4072
0.0000 0.0000 4.6750
```

M_tot ... 0.00 μB/f.u.
DFT total energy ... -5.03 eV per atom

=====

(12)
The following is a DFT calculation (PBE) of a relaxed structure of CaAu2Se.

Cell and atoms, written as POSCAR:
```
CaAu2Se
1.0
3.9743 0.0092 0.0000
-0.0118 3.9743 0.0000
0.0000 0.0000 5.6043
Ca Au Se
1 2 1
Cartesian
1.9812 1.9918 1.4011
0.0000 0.0000 0.0188
0.0000 0.0000 2.7833
1.9812 1.9918 4.2032
```

M_tot ... 0.00 μB/f.u.
Raw formation energy ... -612.6 meV per atom

=====

(13)
The following is a DFT calculation (PBE) of a relaxed structure of NiAsCl2.

Cell and atoms, written as POSCAR:
```
NiAsCl2
1.0
3.3943 -0.1155 0.0000
-1.9994 2.7454 0.0000
0.0000 0.0000 10.2386
Ni As Cl
1 1 2
Cartesian
0.6975 1.3150 2.5597
0.6975 1.3150 7.6790
0.0000 0.0000 0.9822
0.0000 0.0000 4.1371
```

Polymorph energy (0 for the lowest one) ... 0.532 eV/atom
M_tot ... 0.00 μB/f.u.
Raw formation energy ... 74.6 meV per atom

=====

(14)
The following is a DFT calculation (PBE) of a relaxed structure of Ir2PtPb.

Cell and atoms, written as POSCAR:
```
Ir2PtPb
1.0
4.0438 0.0000 0.0000
0.0000 4.0438 0.0000
2.0219 2.0219 9.4602
Pb Ir Pt
2 4 2
Cartesian
0.0000 0.0000 0.0000
4.0438 2.0219 4.7301
2.7694 1.0110 2.3651
1.2744 3.0329 2.3651
3.0329 3.2963 7.0952
5.0548 4.7913 7.0952
2.0219 2.0219 0.0000
2.0219 4.0438 4.7301
```

M_tot ... 0.00 μB/f.u.
DFT total energy ... -6.36 eV per atom

=====

(15)
The following is a DFT calculation (PBE) of a relaxed structure of Sc4CoIr2.

Cell and atoms, written as POSCAR:
```
Sc4CoIr2
1.0
4.2941 0.0000 1.3416
1.9375 3.8321 1.3416
-0.0808 -0.0497 7.8015
Sc Co Ir
4 1 2
Cartesian
5.4190 3.3325 5.2839
0.7318 0.4500 5.2007
3.8754 2.3832 2.6818
2.2754 1.3993 7.8029
0.0000 0.0000 0.0000
4.6022 2.8302 7.8981
1.5485 0.9523 2.5865
```

M_tot ... 0.00 μB/f.u.
DFT total energy ... -7.90 eV per atom

=====

(16)
The following is a DFT calculation (PBE) of a relaxed structure of ZrHg2As.

Cell and atoms, written as POSCAR:
```
ZrHg2As
1.0
5.7062 -0.0098 -0.0331
-2.3587 5.3068 0.0063
0.9888 0.8539 2.8752
As Hg Zr
1 2 1
Cartesian
1.6737 2.6485 -0.0134
0.0000 0.0000 0.0000
3.3475 0.4221 1.4211
-0.6850 3.0804 1.4407
```

M_tot ... 0.00 μB/f.u.
DFT total energy ... -3.51 eV per atom

=====

(17)
The following is a DFT calculation (PBE) of a relaxed structure of NaPmEr2Te4.

Cell and atoms, written as POSCAR:
```
NaPmEr2Te4
1.0
-4.1969 0.6916 -0.9316
-2.0362 -4.0568 6.1616
0.7633 7.3613 2.0262
Na Pm Er Te
1 1 2 4
Cartesian
0.0000 0.0000 0.0000
-3.1165 -1.6826 2.6150
-1.7168 4.0264 0.5473
-0.6364 1.6523 4.0939
-2.4135 1.2386 1.6166
-3.0562 2.7575 5.6397
0.0685 4.4595 3.0020
-1.3414 -1.1550 5.1859
```

M_tot ... 0.00 μB/f.u.
Raw formation energy ... -1307.6 meV per atom

=====

(18)
The following is a DFT calculation (PBE) of a relaxed structure of Pr2Nd6Zn.

Cell and atoms, written as POSCAR:
```
Pr2Nd6Zn
1.0
-3.4815 -0.4798 1.3820
-1.5632 -7.0252 -6.3766
3.7088 -2.0722 8.6235
Pr Nd Zn
2 6 1
Cartesian
1.9508 -3.7220 3.6223
0.1947 -5.3754 -1.3754
-2.7076 -4.5851 -3.2530
-0.9233 -3.7077 1.5463
0.5545 -1.5234 6.0274
-0.4010 -1.8023 -1.6359
1.5962 -6.7655 1.6724
-0.6128 -7.5548 -4.1662
-1.7410 -0.2409 0.6901
```

Polymorph energy (0 for the lowest one) ... 0.000 eV/atom
M_tot ... 0.00 μB/f.u.

=====

(19)
The following is a DFT calculation (PBE) of a relaxed structure of Mg2Zn2Cu5Ge.

Cell and atoms, written as POSCAR:
```
Mg2Zn2Cu5Ge
1.0
3.7048 0.0000 0.0000
0.0000 8.9855 0.0000
0.0000 0.0000 8.9855
Mg Zn Cu Ge
4 4 10 2
Cartesian
0.0000 6.0706 1.5778
0.0000 2.9149 7.4076
0.0000 1.5778 2.9149
0.0000 7.4076 6.0706
0.0000 1.0918 5.5845
0.0000 7.8937 3.4010
0.0000 5.5845 7.8937
0.0000 3.4010 1.0918
1.8524 1.7820 0.6106
1.8524 7.2035 8.3749
1.8524 0.6106 7.2035
1.8524 6.2747 3.8821
1.8524 8.3749 1.7820
1.8524 2.7107 5.1034
1.8524 5.1034 6.2747
1.8524 3.8821 2.7107
1.8524 4.4927 0.0000
1.8524 0.0000 4.4927
0.0000 0.0000 0.0000
0.0000 4.4927 4.4927
```

M_tot ... 0.00 μB/f.u.
DFT total energy ... -3.09 eV per atom

=====

(20)
The following is a DFT calculation (PBE) of a relaxed structure of AsPb2W.

Cell and atoms, written as POSCAR:
```
AsPb2W
1.0
-1.1946 2.2153 -1.9413
-2.1768 -2.1507 0.8600
-2.5301 5.8545 8.2375
Pb As W
2 1 1
Cartesian
-2.4985 5.7815 8.1348
-2.4258 1.7450 1.8692
-3.4415 4.0951 5.1759
-1.3307 3.0792 4.3326
```

M_tot ... 0.00 μB/f.u.
DFT total energy ... -5.77 eV per atom

=====

(21)
The following is a DFT calculation (PBE) of a relaxed structure of LaSm5Dy2.

Cell and atoms, written as POSCAR:
```
LaSm5Dy2
1.0
-3.1002 2.0326 -3.5126
-1.3583 -6.6219 -2.6330
-11.2093 -1.3288 9.1245
La Sm Dy
2 10 4
Cartesian
-5.6046 -0.6644 4.5622
-0.6791 -3.3109 -1.3165
0.0000 0.0000 0.0000
-6.2838 -3.9753 3.2457
-9.0663 -4.2952 5.5166
-3.5012 -3.6554 0.9749
-2.7868 -0.3403 2.2627
-9.7808 -7.6103 4.2288
-11.6846 -1.7895 5.5649
-3.9831 -4.1286 -2.5860
-6.0846 -1.1473 0.9939
-9.5832 -4.7708 1.9850
-8.9040 -1.4675 3.2970
-6.7638 -4.4505 -0.3181
-3.3007 -0.8096 -1.2677
-12.3671 -5.1085 4.2467
```

M_tot ... 0.00 μB/f.u.
DFT total energy ... -4.70 eV per atom

=====

(22)
The following is a DFT calculation (PBE) of a relaxed structure of TiHg3As.

Cell and atoms, written as POSCAR:
```
TiHg3As
1.0
5.2777 0.0000 0.0000
0.0000 5.2777 0.0000
0.0000 0.0000 5.2777
As Hg Ti
1 3 1
Cartesian
2.6389 2.6389 2.6389
0.0000 2.6389 0.0000
0.0000 0.0000 2.6389
2.6389 0.0000 0.0000
0.0000 0.0000 0.0000
```

Polymorph energy (0 for the lowest one) ... 0.000 eV/atom
M_tot ... 0.00 μB/f.u.

=====

(23)
The following is a DFT calculation (PBE) of a relaxed structure of Na3TiMn.

Cell and atoms, written as POSCAR:
```
Na3TiMn
1.0
-5.1684 1.6493 -1.7625
-0.8787 -5.1648 -2.2564
-2.2482 -1.7729 4.9337
Na Mn Ti
3 1 1
Cartesian
-0.4393 -2.5824 -1.1282
-1.1241 -0.8864 2.4668
-2.5842 0.8246 -0.8812
-4.1476 -2.6442 0.4574
0.0000 0.0000 0.0000
```

Polymorph energy (0 for the lowest one) ... 0.000 eV/atom
M_tot ... 1.06 μB/f.u.

=====

(24)
The following is a DFT calculation (PBE) of a relaxed structure of AcEr2Sn.

Cell and atoms, written as POSCAR:
```
AcEr2Sn
1.0
5.5192 0.0000 0.0000
2.7596 4.7797 0.0000
2.7596 1.5932 4.5064
Ac Sn Er
1 1 2
Cartesian
0.0000 0.0000 0.0000
5.5192 3.1865 2.2532
2.7596 1.5932 1.1266
8.2788 4.7797 3.3798
```

Polymorph energy (0 for the lowest one) ... 0.182 eV/atom
M_tot ... 0.00 μB/f.u.

=====

(25)
The following is a DFT calculation (PBE) of a relaxed structure of PrNd3Tm2Se6.

Cell and atoms, written as POSCAR:
```
PrNd3Tm2Se6
1.0
-3.7693 -6.0890 0.6786
5.2409 0.4837 -4.9034
4.0402 -0.4182 6.0292
Pr Nd Tm Se
1 3 2 6
Cartesian
0.0000 0.0000 0.0000
5.8457 -0.7578 -1.0120
-0.3339 -5.2657 2.8164
2.7559 -3.0118 0.9022
2.2319 -1.7113 -3.0393
-0.7603 -3.8940 -1.1855
2.5970 -5.6471 2.4043
2.0107 -4.1844 -1.6814
2.9148 -0.3765 -0.5999
5.7410 -3.3536 0.4566
3.5011 -1.8391 3.4859
-0.2292 -2.6699 1.3478
```

M_tot ... 0.00 μB/f.u.
Raw formation energy ... -1784.7 meV per atom